[1]
The following is a PBE calculation of SrPu3Pt8 after structural relaxation, from the Alexandria database.

- theoretical density (g/cm3) = 16.854
- energy of formation from the pure elements (eV per atom) = -0.767
- SG = P3m1 (156)

a = 5.485 Å, b = 5.485 Å, c = 9.002 Å
α = 90.00°, β = 90.00°, γ = 120.00°
Element x y z (fractional)
Sr (0.000, 0.000, 0.000)
Pu (0.000, 0.000, 0.375)
Pu (0.667, 0.333, 0.496)
Pu (0.667, 0.333, 0.862)
Pt (0.165, 0.330, 0.680)
Pt (0.165, 0.835, 0.680)
Pt (0.333, 0.667, 0.432)
Pt (0.333, 0.667, 0.933)
Pt (0.503, 0.005, 0.187)
Pt (0.503, 0.497, 0.187)
Pt (0.670, 0.835, 0.680)
Pt (0.995, 0.497, 0.187)

***

[2]
The following is a PBE calculation of Sr2PuPt9 after structural relaxation, from the Alexandria database.

- theoretical density (g/cm3) = 15.492
- energy of formation from the pure elements (eV per atom) = -0.681
- SG = R-3m (166)

a = 9.546 Å, b = 9.546 Å, c = 9.546 Å
α = 33.28°, β = 33.28°, γ = 33.28°
Element x y z (fractional)
Sr (0.141, 0.141, 0.141)
Sr (0.859, 0.859, 0.859)
Pu (0.000, 0.000, 0.000)
Pt (0.081, 0.583, 0.583)
Pt (0.332, 0.332, 0.332)
Pt (0.417, 0.417, 0.919)
Pt (0.417, 0.919, 0.417)
Pt (0.500, 0.500, 0.500)
Pt (0.583, 0.081, 0.583)
Pt (0.583, 0.583, 0.081)
Pt (0.668, 0.668, 0.668)
Pt (0.919, 0.417, 0.417)

***

> Number 2 is which compound?

Sr2PuPt9

***

Please write out number 1 again, unchanged.
The following is a PBE calculation of SrPu3Pt8 after structural relaxation, from the Alexandria database.

- theoretical density (g/cm3) = 16.854
- energy of formation from the pure elements (eV per atom) = -0.767
- SG = P3m1 (156)

a = 5.485 Å, b = 5.485 Å, c = 9.002 Å
α = 90.00°, β = 90.00°, γ = 120.00°
Element x y z (fractional)
Sr (0.000, 0.000, 0.000)
Pu (0.000, 0.000, 0.375)
Pu (0.667, 0.333, 0.496)
Pu (0.667, 0.333, 0.862)
Pt (0.165, 0.330, 0.680)
Pt (0.165, 0.835, 0.680)
Pt (0.333, 0.667, 0.432)
Pt (0.333, 0.667, 0.933)
Pt (0.503, 0.005, 0.187)
Pt (0.503, 0.497, 0.187)
Pt (0.670, 0.835, 0.680)
Pt (0.995, 0.497, 0.187)

***

> Which value of theoretical density does entry 1 give?

16.854 g/cm3